The following is a PBE-GGA calculation of a relaxed NdThZn2 crystal, from Alexandria.

Spin magnetization: 0.000 μB/atom
Space group: P4/mmm
Crystal system: tetragonal
Calculated density: 8.49 g/cm3
D(E_F): 1.01 states/eV per atom
Excess energy over the best structure of this formula in the dataset: 0.0 kJ/mol of atoms

Lattice parameters (Å, degrees): 3.671 3.671 7.365 90.00 90.00 90.00
Atoms (fractional coordinates):
Nd1 0.000 0.000 0.000
Th1 0.000 0.000 0.500
Zn1 0.500 0.500 0.250
Zn2 0.500 0.500 0.750